Version i
Pm3Dy4Y4: optimized geometry, PBE-GGA.

```
Pm3Dy4Y4
1.0
3.503 0.000 0.000
0.000 5.684 0.000
-1.749 -2.835 17.993
Pm Dy Y
3 4 4
Cartesian
0.000 0.000 0.000
0.000 2.847 4.923
1.754 0.002 13.070
0.003 2.844 11.476
0.004 0.002 16.354
1.750 2.847 1.639
1.751 0.005 6.517
0.001 0.003 9.601
0.001 2.843 14.729
1.753 0.006 3.264
1.753 2.846 8.392
```

Crystal system   triclinic
Symmetry   No. 2
Volume   32.6 Å³/atom

Version ii
Pm3Dy4Y4: optimized geometry, PBE-GGA.

```
Pm3Dy4Y4
1.0
-1.783 5.616 9.257
1.783 -5.616 9.257
1.783 5.616 -9.257
Pm Dy Y
3 4 4
Cartesian
0.000 0.000 0.000
1.783 0.000 7.278
0.000 5.616 1.978
0.000 0.000 4.172
1.783 3.277 0.000
0.000 2.339 9.257
0.000 0.000 14.342
1.783 2.673 -3.149
1.783 2.673 3.149
0.000 2.943 6.108
0.000 2.943 12.406
```

Crystal system   orthorhombic
Symmetry   No. 71
Volume   33.7 Å³/atom

Stability verdict: version i, ahead by 121 meV per atom

Version i
Pm2Dy2Y7: optimized geometry, PBE-GGA.

```
Pm2Dy2Y7
1.0
5.604 -5.833 0.000
5.604 5.833 0.000
-2.391 0.000 5.590
Pm Dy Y
2 2 7
Cartesian
5.604 3.354 0.000
5.604 -3.354 0.000
2.398 0.000 0.469
6.420 0.000 5.121
-1.195 0.000 2.795
2.891 3.053 1.808
2.917 0.000 3.883
5.927 3.053 3.782
2.891 -3.053 1.808
5.900 0.000 1.707
5.927 -3.053 3.782
```

Crystal system   monoclinic
Symmetry   No. 12
Volume   33.2 Å³/atom

Version ii
Pm2Dy2Y7: optimized geometry, PBE-GGA.

```
Pm2Dy2Y7
1.0
4.480 -4.761 0.000
4.480 4.761 0.000
-1.829 0.000 8.550
Pm Dy Y
2 2 7
Cartesian
4.480 3.075 0.000
4.480 -3.075 0.000
0.291 0.000 3.033
6.840 0.000 5.517
0.829 1.734 6.037
2.967 0.000 0.806
0.829 -1.734 6.037
3.566 0.000 4.275
6.303 1.734 2.513
4.164 0.000 7.744
6.303 -1.734 2.513
```

Crystal system   monoclinic
Symmetry   No. 12
Volume   33.2 Å³/atom

Stability verdict: version ii, ahead by 51 meV per atom

Version i
Pm2Dy5Y: optimized geometry, PBE-GGA.

```
Pm2Dy5Y
1.0
6.766 0.000 0.000
-1.929 8.690 0.000
-1.449 -1.337 8.849
Pm Dy Y
4 10 2
Cartesian
-0.567 3.411 3.140
-1.211 1.780 8.582
4.600 5.574 0.268
3.955 3.943 5.710
-2.045 6.755 3.403
1.168 0.466 1.226
-1.114 6.864 6.765
1.124 6.350 0.758
2.003 0.921 4.583
1.386 6.433 4.266
2.264 1.004 8.092
4.503 0.490 2.084
2.221 6.888 7.624
5.434 0.599 5.447
0.657 3.749 6.470
2.732 3.605 2.380
```

Crystal system   triclinic
Symmetry   No. 2
Volume   32.5 Å³/atom

Version ii
Pm2Dy5Y: optimized geometry, PBE-GGA.

```
Pm2Dy5Y
1.0
7.151 0.000 0.000
0.000 14.301 0.000
0.000 0.000 5.047
Pm Dy Y
4 10 2
Cartesian
1.786 1.792 0.000
1.789 8.942 0.000
5.361 5.359 0.000
5.365 12.509 0.000
0.000 0.000 2.524
0.004 3.568 2.524
1.781 12.506 0.000
1.795 5.356 0.000
3.572 10.719 2.524
3.575 7.151 2.524
3.579 3.582 2.524
5.356 8.945 0.000
5.370 1.795 0.000
7.147 10.733 2.524
0.000 7.151 2.524
3.575 0.000 2.524
```

Crystal system   orthorhombic
Symmetry   No. 55
Volume   32.3 Å³/atom

Stability verdict: version ii, ahead by 44 meV per atom

Version i
Pm3Dy2Y: optimized geometry, PBE-GGA.

```
Pm3Dy2Y
1.0
6.607 -1.777 0.000
6.607 1.777 0.000
-3.843 0.000 17.285
Pm Dy Y
6 4 2
Cartesian
0.249 0.000 2.865
0.995 0.000 11.475
4.880 0.000 0.184
4.492 0.000 17.101
8.376 0.000 5.811
9.123 0.000 14.420
-0.583 0.000 14.432
2.934 0.000 8.625
6.437 0.000 8.661
9.955 0.000 2.853
4.839 0.000 5.495
4.533 0.000 11.790
```

Crystal system   monoclinic
Symmetry   No. 12
Volume   33.8 Å³/atom

Version ii
Pm3Dy2Y: optimized geometry, PBE-GGA.

```
Pm3Dy2Y
1.0
9.700 0.000 0.000
0.000 3.572 0.000
-0.821 0.000 11.590
Pm Dy Y
6 4 2
Cartesian
0.640 0.893 1.386
1.619 0.893 9.969
3.393 0.893 6.993
5.486 2.679 4.597
7.260 2.679 1.621
8.239 2.679 10.204
0.284 2.679 7.190
4.158 0.893 1.668
4.721 2.679 9.922
8.595 0.893 4.400
2.050 2.679 4.115
6.830 0.893 7.475
```

Crystal system   monoclinic
Symmetry   No. 11
Volume   33.5 Å³/atom

Stability verdict: version ii, ahead by 32 meV per atom

Version i
Pm3Dy3Y: optimized geometry, PBE-GGA.

```
Pm3Dy3Y
1.0
4.964 2.866 2.772
-4.964 2.866 2.772
0.000 -5.732 2.772
Pm Dy Y
3 3 1
Cartesian
-1.778 -1.027 2.772
1.778 -1.027 2.772
0.000 2.053 2.772
-1.993 -1.151 6.323
1.993 -1.151 6.323
0.000 2.301 6.323
0.000 0.000 0.336
```

Crystal system   trigonal
Symmetry   No. 160
Volume   33.8 Å³/atom

Version ii
Pm3Dy3Y: optimized geometry, PBE-GGA.

```
Pm3Dy3Y
1.0
3.114 1.798 14.418
-3.114 1.798 14.418
0.000 -3.595 14.418
Pm Dy Y
6 6 2
Cartesian
-1.031 -1.809 20.106
-2.082 -0.012 23.148
-1.051 1.798 20.106
1.051 -1.798 23.148
2.082 0.012 20.106
1.031 1.809 23.148
-2.076 -0.001 17.241
-1.037 -1.798 26.012
1.039 -1.797 17.241
-1.039 1.797 26.012
1.037 1.798 17.241
2.076 0.001 26.012
0.000 0.000 14.417
0.000 0.000 28.836
```

Crystal system   trigonal
Symmetry   No. 148
Volume   34.6 Å³/atom

Stability verdict: version ii, ahead by 89 meV per atom

Version i
Pm8Dy6Y: optimized geometry, PBE-GGA.

```
Pm8Dy6Y
1.0
4.566 2.636 6.963
-4.566 2.636 6.963
0.000 -5.273 6.963
Pm Dy Y
8 6 1
Cartesian
0.000 0.000 1.620
-0.145 -1.996 7.513
-1.656 1.123 7.513
-1.801 -0.872 13.375
1.801 0.872 7.513
1.656 -1.123 13.375
0.145 1.996 13.375
0.000 0.000 19.268
-3.225 -1.085 9.622
-0.673 -3.336 11.265
-2.552 2.251 11.265
2.552 -2.251 9.622
0.673 3.336 9.622
3.225 1.085 11.265
0.000 0.000 10.444
```

Crystal system   trigonal
Symmetry   No. 148
Volume   33.5 Å³/atom

Version ii
Pm8Dy6Y: optimized geometry, PBE-GGA.

```
Pm8Dy6Y
1.0
9.428 0.000 0.000
-4.714 8.165 0.000
0.000 0.000 6.568
Pm Dy Y
8 6 1
Cartesian
-3.203 6.101 1.077
1.031 2.341 1.077
2.543 0.277 5.491
0.000 5.443 0.779
4.714 2.722 5.789
2.171 7.887 1.077
3.683 5.824 5.491
7.916 2.063 5.491
-2.226 5.357 4.318
1.188 3.558 4.318
3.676 0.751 2.250
1.038 7.414 4.318
3.526 4.606 2.250
6.940 2.808 2.250
0.000 0.000 3.284
```

Crystal system   trigonal
Symmetry   No. 147
Volume   33.7 Å³/atom

Stability verdict: version i, ahead by 50 meV per atom

Version i
PmDy12Y7: optimized geometry, PBE-GGA.

```
PmDy12Y7
1.0
6.000 3.464 5.321
-6.000 3.464 5.321
0.000 -6.929 5.321
Pm Dy Y
1 12 7
Cartesian
0.000 0.000 0.000
-1.954 -0.559 4.686
-0.736 -3.224 7.145
-3.160 -0.975 8.818
1.462 -1.413 4.686
-2.424 2.249 7.145
0.493 1.972 4.686
-0.493 -1.972 11.276
2.424 -2.249 8.818
-1.462 1.413 11.276
3.160 0.975 7.145
0.736 3.224 8.818
1.954 0.559 11.276
-5.261 0.526 6.645
-3.086 -4.293 9.317
2.174 -4.819 6.645
0.000 0.000 7.981
-2.174 4.819 9.317
3.086 4.293 6.645
5.261 -0.526 9.317
```

Crystal system   trigonal
Symmetry   No. 148
Volume   33.2 Å³/atom

Version ii
PmDy12Y7: optimized geometry, PBE-GGA.

```
PmDy12Y7
1.0
-5.634 5.634 5.634
5.634 -5.634 5.634
5.634 5.634 -5.634
Pm Dy Y
1 12 7
Cartesian
0.000 0.000 0.000
5.634 2.785 -2.785
5.634 -2.785 2.785
2.785 5.634 -2.785
2.848 2.848 0.000
2.848 0.000 2.848
2.785 -2.785 5.634
5.634 2.785 2.785
0.000 2.848 2.848
-2.785 5.634 2.785
-2.785 2.785 5.634
2.785 5.634 2.785
2.785 2.785 5.634
2.817 2.817 -2.817
2.817 -2.817 2.817
5.634 0.000 0.000
-2.817 2.817 2.817
0.000 5.634 0.000
0.000 0.000 5.634
2.817 2.817 2.817
```

Crystal system   cubic
Symmetry   No. 229
Volume   35.8 Å³/atom

Stability verdict: version i, ahead by 473 meV per atom

Version i
PmDy2Y4: optimized geometry, PBE-GGA.

```
PmDy2Y4
1.0
8.370 -1.777 0.000
8.370 1.777 0.000
-4.318 0.000 7.645
Pm Dy Y
1 2 4
Cartesian
0.000 0.000 0.000
-0.685 0.000 3.287
13.107 0.000 4.358
1.888 0.000 5.399
5.286 0.000 1.271
7.136 0.000 6.375
10.534 0.000 2.246
```

Crystal system   monoclinic
Symmetry   No. 12
Volume   32.5 Å³/atom

Version ii
PmDy2Y4: optimized geometry, PBE-GGA.

```
PmDy2Y4
1.0
6.051 0.000 0.000
0.000 6.648 0.000
-2.826 0.000 11.305
Pm Dy Y
2 4 8
Cartesian
-0.796 1.662 4.131
4.021 4.986 7.173
-1.684 1.662 10.718
0.986 4.986 5.776
2.239 1.662 5.529
4.909 4.986 0.586
-1.026 1.662 7.498
-0.951 4.986 10.394
1.475 3.373 2.370
1.475 6.599 2.370
1.750 0.049 8.935
1.750 3.275 8.935
4.175 1.662 0.910
4.251 4.986 3.807
```

Crystal system   monoclinic
Symmetry   No. 11
Volume   32.5 Å³/atom

Stability verdict: version i, ahead by 97 meV per atom

Version i
Pm6Dy8Y: optimized geometry, PBE-GGA.

```
Pm6Dy8Y
1.0
9.403 0.000 0.000
-4.702 8.143 0.000
0.000 0.000 6.523
Pm Dy Y
6 8 1
Cartesian
-1.038 2.338 1.071
-2.158 7.873 1.071
1.506 2.068 5.452
3.196 6.076 1.071
6.859 0.270 5.452
5.739 5.805 5.452
-1.183 3.568 4.298
0.000 5.429 0.782
-1.020 7.384 4.298
2.499 2.809 2.225
2.203 5.335 4.298
5.721 0.760 2.225
4.702 2.714 5.741
5.885 4.575 2.225
0.000 0.000 3.261
```

Crystal system   trigonal
Symmetry   No. 147
Volume   33.3 Å³/atom

Version ii
Pm6Dy8Y: optimized geometry, PBE-GGA.

```
Pm6Dy8Y
1.0
4.558 2.632 6.942
-4.558 2.632 6.942
0.000 -5.264 6.942
Pm Dy Y
6 8 1
Cartesian
-3.152 -1.159 9.520
-0.572 -3.309 11.305
-2.580 2.150 11.305
2.580 -2.150 9.520
0.572 3.309 9.520
3.152 1.159 11.305
0.000 0.000 1.599
-0.125 -1.992 7.480
-1.663 1.104 7.480
-1.788 -0.888 13.345
1.788 0.888 7.480
1.663 -1.104 13.345
0.125 1.992 13.345
0.000 0.000 19.226
0.000 0.000 10.413
```

Crystal system   trigonal
Symmetry   No. 148
Volume   33.3 Å³/atom

Stability verdict: version ii, ahead by 57 meV per atom